Below is crystalline YZr2Cd at its relaxed geometry, with properties calculated at the PBE-GGA level.

Calculated values
spin magnetization	0.00	μB per cell
N(E_F)	6.24	states/eV/cell
uncorrected energy	-6.1156	eV/atom
SG	No. 139
V	96.41	Å³ per cell

abc: 5.7811 5.7811 5.7811
angles: 134.61 134.61 66.13
With the nearest neighbours (Å) after each atom.
Atoms (fractional coordinates):
Y 0.0000 0.0000 0.0000  4 Cd 3.15, 8 Zr 3.29
Zr 0.2500 0.7500 0.5000  4 Zr 3.15, 4 Cd 3.29, 4 Y 3.29
Zr 0.7500 0.2500 0.5000  4 Zr 3.15, 4 Cd 3.29, 4 Y 3.29
Cd 0.5000 0.5000 0.0000  4 Y 3.15, 8 Zr 3.29